Record 1
! CdSnC3 (GGA-PBEsol, relaxed); values from VASP
! D(E_F) ... 3.81 states/eV/cell
! Formation enthalpy at 0 K ... 3.096 eV per atom
! Crystal system ... cubic
! ρ ... 5.709 g/cm³
&SYSTEM
  ibrav = 0, nat = 5, ntyp = 3
/
ATOMIC_SPECIES
Cd 112.41 Cd.upf
C 12.01 C.upf
Sn 118.71 Sn.upf
ATOMIC_POSITIONS crystal
Cd 0.000 0.000 0.000
C 0.000 0.000 0.500
C 0.500 0.000 0.000
C 0.000 0.500 0.000
Sn 0.500 0.500 0.500
CELL_PARAMETERS angstrom
4.267 0.000 0.000
0.000 4.267 0.000
0.000 0.000 4.267

***

Record 2
! CaYPd2 (GGA-PBEsol, relaxed); values from VASP
! D(E_F) ... 2.04 states/eV/cell
! Formation enthalpy at 0 K ... -0.746 eV per atom
! Crystal system ... cubic
! ρ ... 6.906 g/cm³
&SYSTEM
  ibrav = 0, nat = 4, ntyp = 3
/
ATOMIC_SPECIES
Y 88.91 Y.upf
Ca 40.08 Ca.upf
Pd 106.42 Pd.upf
ATOMIC_POSITIONS crystal
Y 0.500 0.500 0.500
Ca 0.000 0.000 0.000
Pd 0.750 0.750 0.750
Pd 0.250 0.250 0.250
CELL_PARAMETERS angstrom
-3.206 3.396 -1.417
-4.753 -1.081 -0.240
-3.106 1.924 3.235